Compound: Ca2Nb2O7
Source: Alexandria via LeMat-Bulk
Functional: GGA-PBEsol
Structure: optimized geometry

abc: 7.4048 7.4048 7.4048
angles: 60.00 60.00 60.00
Sites, in units of the cell vectors:
Ca: 0.6250 0.6250 0.1250
Ca: 0.6250 0.1250 0.6250
Ca: 0.6250 0.6250 0.6250
Ca: 0.1250 0.6250 0.6250
Nb: 0.1250 0.1250 0.6250
Nb: 0.1250 0.6250 0.1250
Nb: 0.1250 0.1250 0.1250
Nb: 0.6250 0.1250 0.1250
O: 0.5000 0.5000 0.5000
O: 0.7500 0.7500 0.7500
O: 0.1937 0.1937 0.8063
O: 0.4437 0.4437 0.0563
O: 0.8063 0.1937 0.8063
O: 0.1937 0.8063 0.8063
O: 0.8063 0.1937 0.1937
O: 0.1937 0.8063 0.1937
O: 0.8063 0.8063 0.1937
O: 0.4437 0.0563 0.0563
O: 0.0563 0.4437 0.4437
O: 0.0563 0.0563 0.4437
O: 0.0563 0.4437 0.0563
O: 0.4437 0.0563 0.4437

Summary:
As for the uncorrected energy: -187.489 eV per cell. Its uncorrected formation energy is -2826 meV/atom. The value obtained for the density of states at the Fermi level is 0.00 states/eV/cell.